Record 1
PBE TbZrAg6, optimized geometry; SG = Pmm2, No. 25; ΔE_f = -0.154 eV/atom; calculated density = 9.618 Mg/m³; energy = -31.35 eV for the cell shown
1.0
4.9472 0.0000 0.0000
0.0000 6.1707 0.0000
0.0000 0.0000 5.0750
Ag Tb Zr
6 1 1
Cartesian
0.0000 3.0854 0.8608
2.4736 1.5797 1.7264
2.4736 4.5910 1.7264
0.0000 1.6300 3.3756
0.0000 4.5407 3.3756
2.4736 0.0000 4.1391
0.0000 0.0000 0.8084
2.4736 3.0854 4.2874

=====

Record 2
PBE NbAlNO, optimized geometry; SG = P4/nmm, No. 129; calculated density = 5.532 Mg/m³; distance to the lowest polymorph of the same formula = 0.901 eV per atom; energy = -58.79 eV for the cell shown
1.0
-1.0244 -0.5661 -3.3640
1.9069 -3.0075 -0.0746
-5.6327 -3.6292 2.3260
Al N Nb O
2 2 2 2
Cartesian
-3.3286 -2.0977 -0.5190
-1.8629 -3.3183 1.1257
-1.4637 -3.0141 -0.9327
-3.7278 -2.4019 1.5394
-0.8996 -0.5796 0.3715
-4.2919 -4.8364 0.2352
-0.5122 -0.2830 -1.6820
0.9535 -1.5037 -0.0373

=====

Record 3
PBE SrCuAs2Pd, optimized geometry; SG = P4/nmm, No. 129; calculated density = 6.917 Mg/m³; distance to the lowest polymorph of the same formula = 0.020 eV per atom; energy = -46.18 eV for the cell shown
1.0
-1.7519 4.0627 -0.1468
-4.0104 -1.7009 0.7873
1.5021 1.0024 9.8174
As Cu Pd Sr
4 2 2 2
Cartesian
-1.8049 -0.7168 1.7028
0.7510 0.5012 4.9087
-2.1301 1.6821 5.2289
0.4258 2.9001 8.4349
-1.4358 -0.4704 4.1157
0.0566 2.6538 6.0220
0.0000 0.0000 0.0000
-2.8812 1.1809 0.3202
-0.4964 2.2847 2.4075
-0.8827 -0.1013 7.7302

=====

Record 4
PBE Li2Zn2InPd2Pt, optimized geometry; SG = P-4m2, No. 115; calculated density = 9.069 Mg/m³; energy = -29.00 eV for the cell shown
1.0
-0.6942 2.6411 3.4059
0.0308 -3.4466 2.6790
6.3312 0.6612 0.7777
In Li Pd Pt Zn
1 2 2 1 2
Cartesian
3.1656 0.3306 0.3889
1.4646 -1.5720 1.5175
4.5350 1.8304 2.3026
1.2562 1.4880 1.8999
4.7434 -1.2296 1.9203
-0.3317 -0.4028 3.0424
0.0000 0.0000 0.0000
2.8339 -0.0722 3.4313

=====

Record 5
PBE Dy3HoPb2N2, optimized geometry; SG = P3m1, No. 156; calculated density = 10.727 Mg/m³; energy = -51.26 eV for the cell shown
1.0
3.5423 0.0000 0.0000
-1.7712 3.0677 0.0000
0.0000 0.0000 15.5962
Dy Ho N Pb
3 1 2 2
Cartesian
0.0000 2.0452 6.4958
1.7711 1.0226 9.0987
1.7711 1.0226 14.2970
0.0000 2.0452 1.2934
0.0000 0.0000 0.0154
0.0000 0.0000 7.7973
1.7711 1.0226 3.8907
0.0000 2.0452 11.6986

=====

Record 6
PBE Y2Ag2B, optimized geometry; SG = I4/mmm, No. 139; calculated density = 6.671 Mg/m³; distance to the lowest polymorph of the same formula = 0.000 eV per atom; energy = -23.37 eV for the cell shown
1.0
-1.8450 1.8450 7.3925
1.8450 -1.8450 7.3925
1.8450 1.8450 -7.3925
Ag B Y
2 1 2
Cartesian
0.0000 1.8450 3.6963
1.8450 0.0000 3.6963
0.0000 0.0000 0.0000
0.0000 0.0000 6.0499
0.0000 0.0000 8.7352

=====

Record 7
PBE BaNdNb, optimized geometry; SG = F-43m, No. 216; calculated density = 5.513 Mg/m³; distance to the lowest polymorph of the same formula = 0.000 eV per atom; energy = -13.42 eV for the cell shown
1.0
0.0000 3.8348 3.8348
3.8348 0.0000 3.8348
3.8348 3.8348 0.0000
Ba Nb Nd
1 1 1
Cartesian
1.9174 1.9174 1.9174
0.0000 0.0000 0.0000
5.7522 5.7522 5.7522

=====

Record 8
PBE Lu4BiAuC2, optimized geometry; SG = P-6m2, No. 187; calculated density = 11.598 Mg/m³; energy = -48.71 eV for the cell shown
1.0
-1.8828 -0.8876 2.9226
1.1459 -2.5572 -2.2410
12.3136 -1.1327 7.5887
Au Bi C Lu
1 1 2 4
Cartesian
0.0000 0.0000 0.0000
5.2836 -2.0105 4.9958
3.0702 -2.2706 1.2883
9.5160 -2.8635 5.2608
0.9357 -1.6106 2.3162
3.9735 -0.3655 2.4488
8.3402 -0.7672 5.1399
9.6314 -2.4105 7.6753